Record 1
Entry from Alexandria: crystalline Tb2TmTh3 at its relaxed geometry (GGA-PBE).

a b c (Å): 7.607 7.607 6.711
angles (deg): 90.00 90.00 95.76
Fractional coordinates of all 12 atoms:
Tb (0.063, 0.603, 0.750)
Tb (0.397, 0.937, 0.750)
Tb (0.603, 0.063, 0.250)
Tb (0.937, 0.397, 0.250)
Tm (0.271, 0.729, 0.250)
Tm (0.729, 0.271, 0.750)
Th (0.000, 0.000, 0.000)
Th (0.000, 0.000, 0.500)
Th (0.334, 0.334, 0.000)
Th (0.334, 0.334, 0.500)
Th (0.666, 0.666, 0.000)
Th (0.666, 0.666, 0.500)

Results
Total magnetization = 0.0 μB/cell
E_form = 1.104 eV/f.u.
Energy relative to the lowest polymorph listed for this composition = 0.153 eV/atom


Record 2
Entry from Alexandria: crystalline Zr2CrAu at its relaxed geometry (GGA-PBE).

a b c (Å): 8.608 8.608 8.608
angles (deg): 21.87 21.87 21.87
Fractional coordinates of all 4 atoms:
Zr (0.242, 0.242, 0.242)
Zr (0.758, 0.758, 0.758)
Cr (0.500, 0.500, 0.500)
Au (0.000, 0.000, 0.000)

Results
Total magnetization = 0.0 μB/cell
E_form = 0.311 eV/f.u.
Energy relative to the lowest polymorph listed for this composition = 0.274 eV/atom